Mn2CrCo3 | PBE | relaxed

Cell lengths 4.029, 6.370, 5.734 Å; angles 90.00, 90.00, 71.57 degrees
Positions (direct):
Cr  0.332  0.337  0.000
Cr  0.668  0.663  0.000
Co  0.833  0.334  0.754
Co  0.500  0.000  0.245
Co  0.167  0.666  0.246
Co  0.167  0.666  0.754
Co  0.500  0.000  0.755
Co  0.833  0.334  0.246
Mn  0.000  0.000  0.500
Mn  0.000  0.000  0.000
Mn  0.333  0.333  0.500
Mn  0.667  0.667  0.500

## Properties
energy relative to the elements = 0.05 eV/atom
magnetic moment = 10.902 μB/f.u.
space group = No. 65